Entry from Alexandria: a relaxed structure of BaSrSiAu (PBE-GGA).

The total magnetization is 0.00 Bohr magnetons per cell. The formation energy without anion corrections is -0.412 eV/atom. The total energy is -14.0 eV/cell. As for the density of states at the Fermi level: 1.086 states/eV/atom.

Cell: 5.5623 5.5623 5.5623 Å, 60.00 60.00 60.00°
Last column: nearest neighbours and their distance in Å.
Fractional positions:
Sr1 0.0000 0.0000 0.0000  4 Au 3.41, 4 Si 3.41
Si1 0.7500 0.7500 0.7500  4 Sr 3.41, 4 Ba 3.41
Au1 0.2500 0.2500 0.2500  4 Ba 3.41, 4 Sr 3.41
Ba1 0.5000 0.5000 0.5000  4 Si 3.41, 4 Au 3.41



Entry from Alexandria: a relaxed structure of BaTlSiAu2 (PBE-GGA).

The total magnetization is 0.00 Bohr magnetons per cell. The formation energy without anion corrections is -0.250 eV/atom. The total energy is -17.5 eV/cell. As for the density of states at the Fermi level: 0.498 states/eV/atom.

Cell: 5.0383 5.0383 5.3842 Å, 90.00 90.00 90.00°
Last column: nearest neighbours and their distance in Å.
Fractional positions:
Si1 0.0000 0.0000 0.0000  4 Au 2.52, 2 Tl 2.69
Tl1 0.0000 0.0000 0.5000  2 Si 2.69
Au1 0.0000 0.5000 0.0000  2 Si 2.52
Au2 0.5000 0.0000 0.0000  2 Si 2.52
Ba1 0.5000 0.5000 0.5000  4 Tl 3.56, 8 Au 3.69



Entry from Alexandria: a relaxed structure of Ba2Zn4Si3Au (PBE-GGA).

The total magnetization is 0.00 Bohr magnetons per cell. The formation energy without anion corrections is -0.302 eV/atom. The total energy is -31.5 eV/cell. As for the density of states at the Fermi level: 0.398 states/eV/atom.

Cell: 4.5007 4.5007 10.6013 Å, 90.00 90.00 90.00°
Last column: nearest neighbours and their distance in Å.
Fractional positions:
Ba1 0.5000 0.0000 0.2462  6 Si 3.42-3.51, 8 Zn 3.44-3.45, 2 Au 3.51
Ba2 0.0000 0.5000 0.7538  6 Si 3.42-3.51, 8 Zn 3.44-3.45, 2 Au 3.51
Zn1 0.5000 0.5000 0.0000  4 Si 2.63
Zn2 0.0000 0.0000 0.0000  4 Si 2.63
Zn3 0.5000 0.0000 0.6308  3 Si 2.56-2.64, 2 Au 2.64
Zn4 0.0000 0.5000 0.3692  3 Si 2.56-2.64, 2 Au 2.64
Si1 0.0000 0.0000 0.5000  4 Zn 2.64
Si2 0.5000 0.0000 0.8721  5 Zn 2.56-2.63
Si3 0.0000 0.5000 0.1279  5 Zn 2.56-2.63
Au1 0.5000 0.5000 0.5000  4 Zn 2.64



Entry from Alexandria: a relaxed structure of Ba2ZnSi3Au12 (PBE-GGA).

The total magnetization is 0.00 Bohr magnetons per cell. The formation energy without anion corrections is -0.148 eV/atom. The total energy is -63.4 eV/cell. As for the density of states at the Fermi level: 0.417 states/eV/atom.

Cell: 8.3800 8.3800 8.3800 Å, 64.24 64.24 64.24°
Last column: nearest neighbours and their distance in Å.
Fractional positions:
Ba1 0.6135 0.6135 0.6135  9 Au 3.37-3.68
Ba2 0.3865 0.3865 0.3865  9 Au 3.37-3.68
Zn1 0.0000 0.0000 0.0000  6 Au 2.55
Si1 0.5000 0.0000 0.0000  6 Au 2.43-2.46
Si2 0.0000 0.5000 0.0000  6 Au 2.43-2.46
Si3 0.0000 0.0000 0.5000  6 Au 2.43-2.46
Au1 0.3219 0.3219 0.8714  2 Si 2.46
Au2 0.8896 0.8896 0.3545  1 Si 2.43, 1 Zn 2.55
Au3 0.3545 0.8896 0.8896  1 Si 2.43, 1 Zn 2.55
Au4 0.8714 0.3219 0.3219  2 Si 2.46
Au5 0.8896 0.3545 0.8896  1 Si 2.43, 1 Zn 2.55
Au6 0.3219 0.8714 0.3219  2 Si 2.46
Au7 0.6781 0.6781 0.1286  2 Si 2.46
Au8 0.1104 0.1104 0.6455  1 Si 2.43, 1 Zn 2.55
Au9 0.6455 0.1104 0.1104  1 Si 2.43, 1 Zn 2.55
Au10 0.1286 0.6781 0.6781  2 Si 2.46
Au11 0.1104 0.6455 0.1104  1 Si 2.43, 1 Zn 2.55
Au12 0.6781 0.1286 0.6781  2 Si 2.46



Entry from Alexandria: a relaxed structure of Ba2ZnSi3Au4 (PBE-GGA).

The total magnetization is 0.00 Bohr magnetons per cell. The formation energy without anion corrections is -0.459 eV/atom. The total energy is -39.1 eV/cell. As for the density of states at the Fermi level: 0.390 states/eV/atom.

Cell: 4.6228 4.6228 10.3184 Å, 90.00 90.00 90.00°
Last column: nearest neighbours and their distance in Å.
Fractional positions:
Ba1 0.5000 0.0000 0.2515  2 Zn 3.45, 7 Si 3.45-3.86, 9 Au 3.47-3.85
Ba2 0.0000 0.5000 0.7485  2 Zn 3.45, 7 Si 3.45-3.86, 9 Au 3.47-3.85
Zn1 0.5000 0.5000 0.5000  4 Au 2.65
Si1 0.0000 0.0000 0.5000  4 Au 2.65
Si2 0.5000 0.0000 0.8770  5 Au 2.60-2.64
Si3 0.0000 0.5000 0.1230  5 Au 2.60-2.64
Au1 0.5000 0.5000 0.0000  4 Si 2.64
Au2 0.0000 0.0000 0.0000  4 Si 2.64
Au3 0.5000 0.0000 0.6247  3 Si 2.60-2.65, 2 Zn 2.65
Au4 0.0000 0.5000 0.3753  3 Si 2.60-2.65, 2 Zn 2.65



Entry from Alexandria: a relaxed structure of BaZrSiAu2 (PBE-GGA).

The total magnetization is 0.00 Bohr magnetons per cell. The formation energy without anion corrections is -0.118 eV/atom. The total energy is -23.0 eV/cell. As for the density of states at the Fermi level: 0.499 states/eV/atom.

Cell: 4.9758 5.0692 4.9758 Å, 90.00 90.00 90.00°
Last column: nearest neighbours and their distance in Å.
Fractional positions:
Si1 0.0000 0.0000 0.0000  4 Au 2.49, 2 Zr 2.53
Au1 0.0000 0.0000 0.5000  2 Si 2.49
Au2 0.5000 0.0000 0.0000  2 Si 2.49
Ba1 0.5000 0.5000 0.5000  4 Zr 3.52, 8 Au 3.55
Zr1 0.0000 0.5000 0.0000  2 Si 2.53



Entry from Alexandria: a relaxed structure of BaSmAu (PBE-GGA).

The total magnetization is 0.00 Bohr magnetons per cell. The total energy is -11.3 eV/cell. As for the formation energy: -0.451 eV per atom. The calculation puts the polymorph energy (0 for the lowest one) at 0.0 meV per atom. As for the density of states at the Fermi level: 0.963 states/eV/atom.

Cell: 3.8992 3.8992 7.4488 Å, 105.17 105.17 90.00°
Last column: nearest neighbours and their distance in Å.
Fractional positions:
Au1 0.6921 0.6921 0.3843  4 Sm 3.05
Ba1 0.0220 0.0220 0.0441  4 Au 3.63, 1 Sm 3.65, 4 Ba 3.90
Sm1 0.2858 0.2858 0.5717  4 Au 3.05



Entry from Alexandria: a relaxed structure of BaSmAu (PBE-GGA).

The total magnetization is 0.00 Bohr magnetons per cell. The total energy is -10.9 eV/cell. As for the formation energy: -0.317 eV per atom. The calculation puts the polymorph energy (0 for the lowest one) at 133.5 meV per atom. As for the density of states at the Fermi level: 1.244 states/eV/atom.

Cell: 4.9351 5.0408 5.0408 Å, 120.00 90.00 90.00°
Last column: nearest neighbours and their distance in Å.
Fractional positions:
Au1 0.1179 0.0000 0.0000  3 Sm 2.94
Ba1 0.6859 0.6667 0.3333  6 Au 3.61-4.04, 6 Sm 3.78-3.85
Sm1 0.1962 0.3333 0.6667  3 Au 2.94



Entry from Alexandria: a relaxed structure of Ba2SmAu (PBE-GGA).

The total magnetization is 0.53 Bohr magnetons per cell. The total energy is -11.7 eV/cell. As for the formation energy: 0.038 eV per atom. As for the density of states at the Fermi level: 1.591 states/eV/atom.

Cell: 4.0703 4.0703 12.2296 Å, 80.42 80.42 60.00°
Last column: nearest neighbours and their distance in Å.
Fractional positions:
Au1 0.5000 0.5000 0.5000  6 Ba 3.24
Ba1 0.1046 0.1046 0.6862  3 Au 3.24
Ba2 0.8954 0.8954 0.3138  3 Au 3.24
Sm1 0.0000 0.0000 0.0000  2 Ba 3.77, 6 Sm 4.07



Entry from Alexandria: a relaxed structure of BaSmSn2Au2 (PBE-GGA).

The total magnetization is 0.00 Bohr magnetons per cell. The total energy is -25.8 eV/cell. As for the formation energy: -0.773 eV per atom. As for the density of states at the Fermi level: 0.473 states/eV/atom.

Cell: 4.8608 4.8608 8.2853 Å, 90.00 90.00 120.00°
Last column: nearest neighbours and their distance in Å.
Fractional positions:
Ba1 0.0000 0.0000 0.0000  6 Sn 3.68, 6 Au 3.85
Sm1 0.0000 0.0000 0.5000  6 Au 3.19, 6 Sn 3.31
Sn1 0.6667 0.3333 0.2876  3 Au 2.82
Sn2 0.3333 0.6667 0.7124  3 Au 2.82
Au1 0.6667 0.3333 0.6826  3 Sn 2.82
Au2 0.3333 0.6667 0.3174  3 Sn 2.82



What did the first record say?
Entry from Alexandria: a relaxed structure of BaSrSiAu (PBE-GGA).

The total magnetization is 0.00 Bohr magnetons per cell. The formation energy without anion corrections is -0.412 eV/atom. The total energy is -14.0 eV/cell. As for the density of states at the Fermi level: 1.086 states/eV/atom.

Cell: 5.5623 5.5623 5.5623 Å, 60.00 60.00 60.00°
Last column: nearest neighbours and their distance in Å.
Fractional positions:
Sr1 0.0000 0.0000 0.0000  4 Au 3.41, 4 Si 3.41
Si1 0.7500 0.7500 0.7500  4 Sr 3.41, 4 Ba 3.41
Au1 0.2500 0.2500 0.2500  4 Ba 3.41, 4 Sr 3.41
Ba1 0.5000 0.5000 0.5000  4 Si 3.41, 4 Au 3.41